# 1
# Th2Zr4Sn3H2

An optimized crystal structure of Th2Zr4Sn3H2 (GGA-PBE, Alexandria via LeMat-Bulk).

calculated total energy	-144.9	eV/cell

Structure (CIF):
```
data_Th2Zr4Sn3H2
_space_group_name_H-M_alt 'I 4/m m m'
_space_group_IT_number 139
_space_group_name_Hall '-I 4 2'
_cell_length_a 4.357
_cell_length_b 4.357
_cell_length_c 25.737
_cell_angle_alpha 90.00
_cell_angle_beta 90.00
_cell_angle_gamma 90.00
loop_
_atom_site_label
_atom_site_type_symbol
_atom_site_fract_x
_atom_site_fract_y
_atom_site_fract_z
Th1 Th 0.000 0.000 0.206
Zr1 Zr 0.000 0.500 0.079
Sn1 Sn 0.000 0.000 0.336
Sn2 Sn 0.000 0.000 0.500
H1 H 0.000 0.000 0.069
```


# 2
# Ag5PdCl12

An optimized crystal structure of Ag5PdCl12 (GGA-PBE, Alexandria via LeMat-Bulk).

ΔE_f (raw)	-7.87	kcal/mol of atoms

Structure (CIF):
```
data_Ag5PdCl12
_space_group_name_H-M_alt 'C 1 2/m 1'
_space_group_IT_number 12
_space_group_name_Hall '-C 2y'
_cell_length_a 6.575
_cell_length_b 12.011
_cell_length_c 12.384
_cell_angle_alpha 90.00
_cell_angle_beta 102.20
_cell_angle_gamma 90.00
loop_
_atom_site_label
_atom_site_type_symbol
_atom_site_fract_x
_atom_site_fract_y
_atom_site_fract_z
Ag1 Ag 0.000 0.000 0.000
Ag2 Ag 0.000 0.168 0.500
Ag3 Ag 0.000 0.333 0.000
Pd1 Pd 0.000 0.500 0.500
Cl1 Cl 0.149 0.167 0.882
Cl2 Cl 0.150 0.500 0.884
Cl3 Cl 0.195 0.360 0.609
Cl4 Cl 0.240 0.500 0.383
```


# 3
# ScTl3Pb

An optimized crystal structure of ScTl3Pb (GGA-PBE, Alexandria via LeMat-Bulk).

ΔE to the lowest computed polymorph	0.0	meV/atom
formation energy from the elements	0.349	eV/atom

Structure (CIF):
```
data_ScTl3Pb
_space_group_name_H-M_alt 'P m -3 m'
_space_group_IT_number 221
_space_group_name_Hall '-P 4 2 3'
_cell_length_a 5.607
_cell_length_b 5.607
_cell_length_c 5.607
_cell_angle_alpha 90.00
_cell_angle_beta 90.00
_cell_angle_gamma 90.00
loop_
_atom_site_label
_atom_site_type_symbol
_atom_site_fract_x
_atom_site_fract_y
_atom_site_fract_z
Sc1 Sc 0.000 0.000 0.000
Tl1 Tl 0.000 0.000 0.500
Pb1 Pb 0.500 0.500 0.500
```


Record order is preserved below.
DOS(E_F): 17.8; 28.8; 4.3 states/eV per cell